[1]
DFT (PBE) results for a geometry-optimized CaAgI2O8 structure.

The structure in POSCAR format:
```
CaAgI2O8
1.0
6.3629 0.1003 0.0000
-2.7322 5.7473 0.0000
-1.8153 -2.9238 5.3528
O Ag I Ca
8 1 2 1
Direct
0.9230 0.6089 0.6859
0.3911 0.0770 0.3141
0.9230 0.2371 0.3141
0.3321 0.1416 0.8095
0.8584 0.6679 0.1905
0.7629 0.0770 0.6859
0.4774 0.6679 0.8095
0.3321 0.5226 0.1905
0.0000 0.0000 0.0000
0.7500 0.2500 0.5000
0.5000 0.5000 0.0000
0.2500 0.7500 0.5000
```

Calculated values
- E_form (uncorrected): -6.98 eV/f.u.
- DFT total energy: -54.600 eV/cell
- D(E_F): 3.29 states/eV/cell

---

[2]
DFT (PBE) results for a geometry-optimized CaAg2IO6 structure.

The structure in POSCAR format:
```
CaAg2IO6
1.0
5.6251 0.0000 -0.0408
0.0000 5.8519 0.0000
-0.0099 0.0000 8.2160
I O Ag Ca
2 12 4 2
Direct
0.0000 0.5000 0.0000
0.5000 0.0000 0.5000
0.7649 0.8104 0.5463
0.3271 0.7458 0.4127
0.6244 0.0732 0.2856
0.8756 0.5732 0.2144
0.8271 0.7542 0.9127
0.7351 0.3104 0.9537
0.2649 0.6896 0.0463
0.1729 0.2458 0.0873
0.3756 0.9268 0.7144
0.1244 0.4268 0.7856
0.6729 0.2542 0.5873
0.2351 0.1896 0.4537
0.5130 0.5552 0.7675
0.9870 0.0552 0.7325
0.4870 0.4448 0.2325
0.0130 0.9448 0.2675
0.5000 0.0000 0.0000
0.0000 0.5000 0.5000
```

Calculated values
- E_form (uncorrected): -7.84 eV/f.u.
- DFT total energy: -93.694 eV/cell
- D(E_F): 12.94 states/eV/cell

---

[3]
DFT (PBE) results for a geometry-optimized Ca2AgI2O2 structure.

The structure in POSCAR format:
```
Ca2AgI2O2
1.0
-2.2678 0.1525 -3.5140
1.3001 -3.8487 -1.0061
-7.5074 -2.1541 7.2437
I O Ag Ca
2 2 1 2
Direct
0.8412 0.8412 0.6823
0.1588 0.1588 0.3177
0.0000 0.5000 0.0000
0.5000 0.0000 0.0000
0.0000 0.0000 0.0000
0.4239 0.4239 0.8477
0.5761 0.5761 0.1523
```

Calculated values
- E_form (uncorrected): -10.51 eV/f.u.
- DFT total energy: -30.378 eV/cell
- D(E_F): 1.13 states/eV/cell

---

[4]
DFT (PBE) results for a geometry-optimized Rb2CaAg2I6 structure.

The structure in POSCAR format:
```
Rb2CaAg2I6
1.0
8.7043 0.0000 0.0000
-4.3521 7.5809 -0.0665
0.0000 -4.3807 7.5031
Ca I Rb Ag
1 6 2 2
Direct
0.5000 0.0000 0.5000
0.2659 0.5318 0.3821
0.3180 0.1220 0.8084
0.7341 0.4682 0.6179
0.1960 0.8780 0.1916
0.6820 0.8780 0.1916
0.8040 0.1220 0.8084
0.2609 0.5219 0.7984
0.7391 0.4781 0.2016
0.9461 0.8922 0.7911
0.0539 0.1078 0.2089
```

Calculated values
- E_form (uncorrected): -11.40 eV/f.u.
- DFT total energy: -30.338 eV/cell
- D(E_F): 0.00 states/eV/cell